Density functional theory data (PBE) for crystalline PrRuCl at its relaxed geometry.

Computed properties:
calculated total energy: -6.387 eV per atom
space-group type: R-3m, No. 166
density of states at the Fermi level: 0.656 states/eV per atom

Lattice parameters (Å, degrees): 11.1653 11.1653 11.1653 21.81 21.81 21.81
Positions (direct):
Pr1 0.0638 0.0638 0.0638
Pr2 0.9362 0.9362 0.9362
Ru1 0.3362 0.3362 0.3362
Ru2 0.6639 0.6639 0.6639
Cl1 0.2181 0.2181 0.2181
Cl2 0.7819 0.7819 0.7819

=====

Density functional theory data (PBE) for crystalline Pr3RuCl at its relaxed geometry.

Computed properties:
calculated total energy: -5.696 eV per atom
space-group type: P2_1/m, No. 11
density of states at the Fermi level: 0.641 states/eV per atom

Lattice parameters (Å, degrees): 7.6297 4.0360 9.4186 90.00 90.06 90.00
Positions (direct):
Pr1 0.0021 0.2500 0.1613
Pr2 0.2496 0.2500 0.5710
Pr3 0.4980 0.2500 0.1613
Pr4 0.5020 0.7500 0.8387
Pr5 0.7504 0.7500 0.4290
Pr6 0.9979 0.7500 0.8387
Ru1 0.2500 0.2500 0.8902
Ru2 0.7500 0.7500 0.1098
Cl1 0.2503 0.7500 0.3236
Cl2 0.7497 0.2500 0.6764

=====

Density functional theory data (PBE) for crystalline Pr2RuCl at its relaxed geometry.

Computed properties:
calculated total energy: -5.993 eV per atom
space-group type: P4/mmm, No. 123
density of states at the Fermi level: 0.534 states/eV per atom

Lattice parameters (Å, degrees): 3.4553 3.4553 8.1691 90.00 90.00 90.00
Positions (direct):
Pr1 0.0000 0.0000 0.2175
Pr2 0.0000 0.0000 0.7825
Ru1 0.5000 0.5000 0.0000
Cl1 0.5000 0.5000 0.5000

=====

Density functional theory data (PBE) for crystalline Pr4RuCl5 at its relaxed geometry.

Computed properties:
calculated total energy: -5.361 eV per atom
space-group type: C2/m, No. 12
density of states at the Fermi level: 0.556 states/eV per atom

Lattice parameters (Å, degrees): 9.4008 9.4008 8.8640 106.54 106.54 25.36
Positions (direct):
Pr1 0.0017 0.0017 0.2334
Pr2 0.3487 0.3487 0.9060
Pr3 0.6513 0.6513 0.0940
Pr4 0.9983 0.9983 0.7666
Ru1 0.5000 0.5000 0.0000
Cl1 0.1684 0.1684 0.3309
Cl2 0.1699 0.1699 0.8684
Cl3 0.5000 0.5000 0.5000
Cl4 0.8301 0.8301 0.1316
Cl5 0.8316 0.8316 0.6691

=====

Density functional theory data (PBE) for crystalline Pr3RuCl at its relaxed geometry.

Computed properties:
calculated total energy: -5.706 eV per atom
space-group type: Pmmn, No. 59
density of states at the Fermi level: 0.436 states/eV per atom

Lattice parameters (Å, degrees): 3.8609 9.8067 8.0516 90.00 90.00 90.00
Positions (direct):
Pr1 0.2500 0.0754 0.1665
Pr2 0.2500 0.2500 0.7285
Pr3 0.2500 0.4246 0.1665
Pr4 0.7500 0.5754 0.8335
Pr5 0.7500 0.7500 0.2715
Pr6 0.7500 0.9246 0.8335
Ru1 0.2500 0.7500 0.0275
Ru2 0.7500 0.2500 0.9725
Cl1 0.2500 0.7500 0.5718
Cl2 0.7500 0.2500 0.4282

=====

Density functional theory data (PBE) for crystalline Pr5RuCl5 at its relaxed geometry.

Computed properties:
calculated total energy: -5.244 eV per atom
space-group type: C2/m, No. 12
density of states at the Fermi level: 0.651 states/eV per atom

Lattice parameters (Å, degrees): 6.9992 6.9992 8.6724 107.11 107.11 49.43
Positions (direct):
Pr1 0.0000 0.0000 0.0000
Pr2 0.3279 0.3279 0.1400
Pr3 0.3487 0.3487 0.6993
Pr4 0.6513 0.6513 0.3007
Pr5 0.6721 0.6721 0.8600
Ru1 0.5000 0.5000 0.0000
Cl1 0.1452 0.1452 0.7871
Cl2 0.1669 0.1669 0.3592
Cl3 0.5000 0.5000 0.5000
Cl4 0.8331 0.8331 0.6408
Cl5 0.8548 0.8548 0.2129

=====

Density functional theory data (PBE) for crystalline Pr4Ru2Cl3 at its relaxed geometry.

Computed properties:
calculated total energy: -5.811 eV per atom
space-group type: C2/m, No. 12
density of states at the Fermi level: 0.396 states/eV per atom

Lattice parameters (Å, degrees): 4.1125 4.1125 18.0287 90.07 90.07 60.00
Positions (direct):
Pr1 0.0011 0.0011 0.3050
Pr2 0.3340 0.3340 0.1248
Pr3 0.6660 0.6660 0.8752
Pr4 0.9989 0.9989 0.6950
Ru1 0.3325 0.3325 0.7907
Ru2 0.6675 0.6675 0.2093
Cl1 0.0000 0.0000 0.0000
Cl2 0.3347 0.3347 0.4018
Cl3 0.6653 0.6653 0.5982

=====

Density functional theory data (PBE) for crystalline PrRuCl at its relaxed geometry.

Computed properties:
calculated total energy: -6.379 eV per atom
space-group type: Cm, No. 8
density of states at the Fermi level: 0.547 states/eV per atom

Lattice parameters (Å, degrees): 4.2219 4.2219 11.2775 100.91 100.91 60.00
Positions (direct):
Pr1 0.0000 0.0000 0.0000
Pr2 0.1280 0.1280 0.3794
Ru1 0.3973 0.3973 0.1896
Ru2 0.7306 0.7306 0.1897
Cl1 0.2814 0.2814 0.8454
Cl2 0.5135 0.5135 0.5338